First-principles (PBE+U) data for a relaxed In2NiSnO6 crystal, as listed in Alexandria.

M_tot: 5.94 μB/cell
E_tot: -5.650 eV/atom
calculated volume: 370 Å³/cell
density: 6.77 g/cm³

Structure (CIF):
```
data_In2NiSnO6
_chemical_formula_sum 'In6 Ni3 Sn3 O18'
_cell_length_a 5.4427
_cell_length_b 5.4427
_cell_length_c 14.4300
_cell_angle_alpha 90.00
_cell_angle_beta 90.00
_cell_angle_gamma 120.00
_space_group_name_H-M_alt 'R 3'
_space_group_IT_number 146
_space_group_name_Hall 'R 3'
loop_
_atom_site_label
_atom_site_type_symbol
_atom_site_fract_x
_atom_site_fract_y
_atom_site_fract_z
_atom_site_occupancy
In1 In 0.0000 0.0000 0.0000 1
In2 In 0.0000 0.0000 0.4992 1
Ni1 Ni 0.0000 0.0000 0.7125 1
Sn1 Sn 0.0000 0.0000 0.2113 1
O1 O 0.0449 0.3566 0.2782 1
O2 O 0.0469 0.6854 0.7791 1
```